Record 1
Density functional theory data (PBE) for an optimized crystal structure of LaY2Sc.

abc: 5.638 5.638 5.638
angles: 60.00 60.00 60.00
Element x y z (fractional)
Y1 0.000 0.000 0.000
Y2 0.250 0.250 0.250
Sc1 0.750 0.750 0.750
La1 0.500 0.500 0.500

Values from the calculation:
VASP energy: -5.95 eV/atom
Formation energy: 0.102 eV per atom
M_tot: 0.0 μB/cell
Volume: 31.68 A^3/atom
Energy above the most stable polymorph in this dataset: 67.4 meV per atom

Record 2
Density functional theory data (PBE) for an optimized crystal structure of Y5Hf.

abc: 4.955 4.921 7.802
angles: 108.38 90.00 90.00
Element x y z (fractional)
Y1 0.000 0.659 0.318
Y2 0.000 0.341 0.682
Y3 0.500 0.500 0.000
Y4 0.500 0.160 0.320
Y5 0.500 0.840 0.680
Hf1 0.000 0.000 0.000

Values from the calculation:
VASP energy: -6.94 eV/atom
Formation energy: 0.104 eV per atom
M_tot: 0.0 μB/cell
Volume: 30.09 A^3/atom

Record 3
Density functional theory data (PBE) for an optimized crystal structure of Rb2PrNdSe4.

abc: 4.394 7.611 8.421
angles: 107.53 90.00 90.00
Element x y z (fractional)
Rb1 0.500 0.000 0.500
Rb2 0.000 0.500 0.500
Pr1 0.500 0.500 0.000
Nd1 0.000 0.000 0.000
Se1 0.500 0.232 0.201
Se2 0.500 0.768 0.799
Se3 0.000 0.264 0.798
Se4 0.000 0.736 0.202

Values from the calculation:
Raw formation energy: -1.733 eV/atom
VASP energy: -4.91 eV/atom
M_tot: 0.0 μB/cell
Volume: 33.57 A^3/atom

Q: Which of these has the highest VASP energy?
A: Rb2PrNdSe4

Please write out number 2 again, unchanged.
Density functional theory data (PBE) for an optimized crystal structure of Y5Hf.

abc: 4.955 4.921 7.802
angles: 108.38 90.00 90.00
Element x y z (fractional)
Y1 0.000 0.659 0.318
Y2 0.000 0.341 0.682
Y3 0.500 0.500 0.000
Y4 0.500 0.160 0.320
Y5 0.500 0.840 0.680
Hf1 0.000 0.000 0.000

Values from the calculation:
VASP energy: -6.94 eV/atom
Formation energy: 0.104 eV per atom
M_tot: 0.0 μB/cell
Volume: 30.09 A^3/atom